Density functional theory data (PBE) for a relaxed Cs3IrC crystal.

The value obtained for the formation energy is 1.5681 eV/atom. For the magnetization, the calculation gives 3.0 μB/f.u. The density of states at the Fermi level comes out at 0.443 states/eV per atom.

The structure belongs to space group Pm-3m (No. 221); the cell edges are 6.1935, 6.1935 and 6.1935 Å and the angles 90.00°, 90.00° and 90.00°. The distinct sites, in fractional coordinates, are Cs at (0.0000, 0.0000, 0.5000), Ir at (0.0000, 0.0000, 0.0000) and C at (0.5000, 0.5000, 0.5000).